Entry 1:
Crystalline ScCrCu2 at its relaxed geometry. Source: Alexandria via LeMat-Bulk, functional PBE-GGA.

```
ScCrCu2
1.0
-1.9805 1.9805 3.8182
1.9805 -1.9805 3.8182
1.9805 1.9805 -3.8182
Sc Cr Cu
1 1 2
Direct
0.0000 0.0000 0.0000
0.2500 0.7500 0.5000
0.5000 0.5000 0.0000
0.7500 0.2500 0.5000
```

Values from the calculation:
* SG: No. 119
* D(E_F): 1.75 states/eV/f.u.
* total DFT energy (no corrections): -5.955 eV/atom

Entry 2:
Crystalline ScTcSCl2 at its relaxed geometry. Source: Alexandria via LeMat-Bulk, functional PBE-GGA.

```
ScTcSCl2
1.0
4.7768 0.0000 0.0000
0.0000 4.7768 0.0000
0.0000 0.0000 4.6032
Sc Tc S Cl
1 1 1 2
Direct
0.0000 0.0000 0.0000
0.5000 0.5000 0.5000
0.5000 0.5000 0.0000
0.0000 0.5000 0.5000
0.5000 0.0000 0.5000
```

Values from the calculation:
* SG: No. 123
* D(E_F): 6.59 states/eV/f.u.
* total DFT energy (no corrections): -5.060 eV/atom